A geometry-optimized CrTcPb2O6 structure, computed with PBE+U.

Electronic total energy (eV/atom): -6.861

Unit cell a=4.0172 b=5.6154 c=5.6154 alpha=90.00 beta=90.00 gamma=90.00
Closest atoms and distances in Å follow each position.
Positions (direct):
Pb  0.1414  0.5000  0.0000  12 O 2.81-2.84
Pb  0.1414  0.0000  0.5000  12 O 2.81-2.84
O  0.6460  0.7537  0.7537  1 Tc 1.96, 1 Cr 2.01
O  0.6460  0.2463  0.7537  1 Tc 1.96, 1 Cr 2.01
O  0.6460  0.7537  0.2463  1 Tc 1.96, 1 Cr 2.01
O  0.6460  0.2463  0.2463  1 Tc 1.96, 1 Cr 2.01
O  0.1453  0.0000  0.0000  2 Tc 2.01
O  0.1450  0.5000  0.5000  2 Cr 2.01
Cr  0.6448  0.5000  0.5000  6 O 2.01
Tc  0.6447  0.0000  0.0000  6 O 1.96-2.01